No. 1
The following is a DFT calculation (PBE-GGA) of a relaxed BaCaNbTe2 crystal.

Properties
As for the total energy: -4.367 eV per atom. Its energy relative to the elements, uncorrected is -0.311 eV/atom. The space group is P4/mmm (123).

Cell: 5.5978 5.5978 5.4225 Å, 90.00 90.00 90.00°
Fractional positions:
Ba: 0.0000 0.0000 0.0000
Ca: 0.5000 0.5000 0.0000
Nb: 0.5000 0.5000 0.5000
Te: 0.0000 0.5000 0.5000
Te: 0.5000 0.0000 0.5000

=====

No. 2
The following is a DFT calculation (PBE-GGA) of a relaxed BaCa2Nd crystal.

Properties
As for the total energy: -2.549 eV per atom. The value obtained for the energy relative to the elements is 0.125 eV/atom. Its energy relative to the lowest polymorph listed for this composition is 46.7 meV/atom. The space group is P4/mmm (123).

Cell: 6.3290 6.3290 4.3375 Å, 90.00 90.00 90.00°
Fractional positions:
Ba: 0.0000 0.0000 0.0000
Ca: 0.0000 0.5000 0.5000
Ca: 0.5000 0.0000 0.5000
Nd: 0.5000 0.5000 0.0000

=====

No. 3
The following is a DFT calculation (PBE-GGA) of a relaxed BaCa2Nd crystal.

Properties
As for the total energy: -2.575 eV per atom. The value obtained for the energy relative to the elements is 0.099 eV/atom. Its energy relative to the lowest polymorph listed for this composition is 20.5 meV/atom. The space group is R3m (160).

Cell: 13.1826 13.1826 13.1826 Å, 17.11 17.11 17.11°
Fractional positions:
Ba: 0.0000 0.0000 0.0000
Ca: 0.4224 0.4224 0.4224
Ca: 0.5774 0.5774 0.5774
Nd: 0.8331 0.8331 0.8331